VASP calculation (GGA+U) on a relaxed structure of PmPb2WO6.

The structure in POSCAR format:
```
PmPb2WO6
1.0
5.795 0.000 0.000
0.000 6.191 0.000
-5.680 0.000 8.638
Pm Pb W O
2 4 2 12
Direct
0.000 0.000 0.000
0.000 0.500 0.500
0.236 0.047 0.728
0.236 0.453 0.228
0.764 0.547 0.772
0.764 0.953 0.272
0.500 0.000 0.500
0.500 0.500 0.000
0.179 0.173 0.481
0.179 0.327 0.981
0.284 0.738 0.462
0.284 0.762 0.962
0.341 0.033 0.266
0.341 0.467 0.766
0.659 0.533 0.234
0.659 0.967 0.734
0.716 0.238 0.038
0.716 0.262 0.538
0.821 0.673 0.019
0.821 0.827 0.519
```

Results
Raw total energy in eV/atom: -6.943
Total magnetization in μB per cell: 2.00